A plane-wave DFT calculation with PBE was carried out for crystalline PrZn3Rh2 at its relaxed geometry.

Results
D(E_F): 6.2 states/eV/cell
E: -52.5 eV for the cell shown
Calculated formation energy: -0.488 eV per atom

a b c (Å): 5.7762 6.1368 6.1368
angles (deg): 95.92 90.00 90.00
With the nearest neighbours (Å) after each atom.
Positions (direct):
Rh1 0.5000 0.2324 0.7676  6 Zn 2.55-2.68
Rh2 0.0000 0.2324 0.7676  6 Zn 2.55-2.68
Rh3 0.0000 0.7676 0.2324  6 Zn 2.55-2.68
Rh4 0.5000 0.7676 0.2324  6 Zn 2.55-2.68
Zn1 0.2500 0.5585 0.9081  4 Rh 2.55-2.68, 1 Zn 2.55
Zn2 0.2500 0.9762 0.9762  2 Zn 2.55, 4 Rh 2.57
Zn3 0.7500 0.4415 0.0919  4 Rh 2.55-2.68, 1 Zn 2.55
Zn4 0.2500 0.9081 0.5585  4 Rh 2.55-2.68, 1 Zn 2.55
Zn5 0.7500 0.0919 0.4415  4 Rh 2.55-2.68, 1 Zn 2.55
Zn6 0.7500 0.0238 0.0238  2 Zn 2.55, 4 Rh 2.57
Pr1 0.2500 0.3498 0.3498  7 Zn 3.07-3.37, 4 Rh 3.09
Pr2 0.7500 0.6502 0.6502  7 Zn 3.07-3.37, 4 Rh 3.09